{"formula": "BaGaPIr2", "functional": "PBE", "state": "relaxed", "sg": "I4mm (107)", "total_energy_ev_per_atom": -6.3517, "volume_a3_per_cell": 104.54, "lattice_angstrom": [[5.3636, -3.1893, 2.6957], [0.1632, -5.4917, 4.0027], [-2.5974, 2.6279, -5.7057]], "species": ["Ba", "Ga", "Ir", "Ir", "P"], "fractional_positions": [[0.9917, 0.9917, 0.0000], [0.6420, 0.6420, 0.0000], [0.7592, 0.2592, 0.5000], [0.2592, 0.7592, 0.5000], [0.3479, 0.3479, 0.0000]]}